Record 1
DFT (GGA-PBE) results for a relaxed structure of Be3FeOs.

Energy above the most stable polymorph in this dataset = 35 meV/atom
Mass density = 6.4 Mg/m³
Size of the total moment = 0.6735 μB per atom
Raw total energy = -26.3 eV/cell

a = 4.1405 Å, b = 4.1405 Å, c = 4.1405 Å
α = 90.00°, β = 90.00°, γ = 90.00°
Closest atoms and distances in Å follow each position.
Space group Pm-3m (No. 221)
Symmetry-distinct sites (fractional):
Be  0.0000  0.0000  0.5000 [3 per cell]  2 Os 2.07
Fe  0.5000  0.5000  0.5000 [1 per cell]  12 Be 2.93
Os  0.0000  0.0000  0.0000 [1 per cell]  6 Be 2.07


Record 2
DFT (GGA-PBE) results for a relaxed structure of Li2PrAs2.

Energy above the most stable polymorph in this dataset = 37 meV/atom
Mass density = 4.5 Mg/m³
Size of the total moment = 0.0000 μB per atom
Raw total energy = -22.3 eV/cell

a = 4.3011 Å, b = 4.3011 Å, c = 7.0724 Å
α = 90.00°, β = 90.00°, γ = 120.00°
Closest atoms and distances in Å follow each position.
Space group P-3m1 (No. 164)
Symmetry-distinct sites (fractional):
Li  0.3333  0.6667  0.1225 [2 per cell]  4 As 2.65-2.66
Pr  0.0000  0.0000  0.5000 [1 per cell]  6 As 3.03
As  0.3333  0.6667  0.7463 [2 per cell]  4 Li 2.65-2.66


Record 3
DFT (GGA-PBE) results for a relaxed structure of NaAg7Pd5.

Mass density = 9.1 Mg/m³
Size of the total moment = 0.0000 μB per atom
Raw total energy = -95.1 eV/cell

a = 5.3821 Å, b = 9.3893 Å, c = 9.4387 Å
α = 90.00°, β = 90.00°, γ = 90.00°
Closest atoms and distances in Å follow each position.
Space group Imm2 (No. 44)
Symmetry-distinct sites (fractional):
Na  0.0000  0.0000  0.0000 [2 per cell]  10 Ag 3.20-3.47, 6 Pd 3.41-3.51
Ag  0.0000  0.0000  0.3555 [2 per cell]  4 Pd 2.87, 5 Ag 2.89-3.09
Ag  0.0000  0.0000  0.6612 [2 per cell]  6 Pd 2.84-2.91, 3 Ag 2.89-3.09
Ag  0.0000  0.2910  0.5087 [4 per cell]  5 Pd 2.73-2.93, 3 Ag 2.89-2.99
Ag  0.0000  0.3479  0.0098 [4 per cell]  4 Ag 2.86-2.99, 5 Pd 2.87-2.91
Ag  0.0000  0.5000  0.7329 [2 per cell]  4 Pd 2.73, 6 Ag 2.89-2.98
Pd  0.0000  0.5000  0.2782 [2 per cell]  4 Pd 2.70, 6 Ag 2.91-2.93
Pd  0.2492  0.2479  0.7600 [8 per cell]  3 Pd 2.68-2.70, 7 Ag 2.73-2.87


Record 4
DFT (GGA-PBE) results for a relaxed structure of Rb2PrF5.

Formation energy without anion corrections = -27.460 eV per formula unit
Mass density = 4.3 Mg/m³
Size of the total moment = 0.0270 μB per atom
Raw total energy = -174.1 eV/cell

a = 11.5634 Å, b = 7.7882 Å, c = 7.0266 Å
α = 90.00°, β = 90.00°, γ = 90.00°
Closest atoms and distances in Å follow each position.
Space group Pnma (No. 62)
Symmetry-distinct sites (fractional):
Rb  0.1713  0.0029  0.0324 [8 per cell]  8 F 2.84-3.05
Pr  0.0044  0.2500  0.5591 [4 per cell]  7 F 2.31-2.43
F  0.0128  0.2500  0.8889 [4 per cell]  1 Pr 2.32
F  0.0760  0.5326  0.6440 [8 per cell]  2 Pr 2.40-2.43
F  0.1668  0.2500  0.3684 [4 per cell]  1 Pr 2.31
F  0.1900  0.7500  0.3395 [4 per cell]  1 Pr 2.36


Record 5
DFT (GGA-PBE) results for a relaxed structure of Hf2ZrNiHg.

Mass density = 8.5 Mg/m³
Size of the total moment = 0.0014 μB per atom
Raw total energy = -27.1 eV/cell

a = 5.1495 Å, b = 5.1495 Å, c = 5.2283 Å
α = 90.00°, β = 90.00°, γ = 90.00°
Closest atoms and distances in Å follow each position.
Space group P4/mmm (No. 123)
Symmetry-distinct sites (fractional):
Hf  0.0000  0.5000  0.0000 [2 per cell]  2 Hg 2.57
Zr  0.0000  0.0000  0.5000 [1 per cell]  2 Hg 2.61
Ni  0.5000  0.5000  0.5000 [1 per cell]  4 Zr 3.64, 8 Hf 3.67
Hg  0.0000  0.0000  0.0000 [1 per cell]  4 Hf 2.57, 2 Zr 2.61


Record 6
DFT (GGA-PBE) results for a relaxed structure of Nb2BiRuS.

Formation energy without anion corrections = 3.166 eV per formula unit
Mass density = 8.0 Mg/m³
Size of the total moment = 0.0000 μB per atom
Raw total energy = -34.3 eV/cell

a = 5.0506 Å, b = 5.0506 Å, c = 4.2747 Å
α = 90.00°, β = 90.00°, γ = 90.00°
Closest atoms and distances in Å follow each position.
Space group P4/mmm (No. 123)
Symmetry-distinct sites (fractional):
Nb  0.0000  0.5000  0.0000 [2 per cell]  2 Ru 2.53
Bi  0.0000  0.0000  0.5000 [1 per cell]  8 Nb 3.31, 4 S 3.57
Ru  0.5000  0.5000  0.0000 [1 per cell]  2 S 2.14
S  0.5000  0.5000  0.5000 [1 per cell]  2 Ru 2.14


Record 7
DFT (GGA-PBE) results for a relaxed structure of K2Tc.

Energy above the most stable polymorph in this dataset = 744 meV/atom
Mass density = 3.3 Mg/m³
Size of the total moment = 0.6082 μB per atom
Raw total energy = -16.8 eV/cell

a = 2.7734 Å, b = 5.9834 Å, c = 10.7309 Å
α = 90.00°, β = 90.00°, γ = 90.00°
Closest atoms and distances in Å follow each position.
Space group Immm (No. 71)
Symmetry-distinct sites (fractional):
K  0.0000  0.0000  0.1636 [4 per cell]  2 K 2.77
Tc  0.0000  0.0000  0.5000 [2 per cell]  2 Tc 2.77


Record 8
DFT (GGA-PBE) results for a relaxed structure of PmPuCdGa.

Mass density = 9.2 Mg/m³
Size of the total moment = 1.5715 μB per atom
Raw total energy = -95.9 eV/cell

a = 7.4514 Å, b = 7.4514 Å, c = 7.4514 Å
α = 90.00°, β = 90.00°, γ = 90.00°
Closest atoms and distances in Å follow each position.
Space group F-43m (No. 216)
Symmetry-distinct sites (fractional):
Pm  0.0000  0.0000  0.0000 [4 per cell]  4 Cd 3.23, 4 Ga 3.23
Pu  0.0000  0.0000  0.5000 [4 per cell]  4 Ga 3.23, 4 Cd 3.23
Cd  0.2500  0.2500  0.7500 [4 per cell]  4 Pm 3.23, 4 Pu 3.23
Ga  0.2500  0.2500  0.2500 [4 per cell]  4 Pm 3.23, 4 Pu 3.23


Record 9
DFT (GGA-PBE) results for a relaxed structure of Li2NdAu3.

Mass density = 10.6 Mg/m³
Size of the total moment = 0.0000 μB per atom
Raw total energy = -44.5 eV/cell

a = 4.5272 Å, b = 4.5272 Å, c = 13.2789 Å
α = 90.00°, β = 90.00°, γ = 120.00°
Closest atoms and distances in Å follow each position.
Space group P6_3/mmc (No. 194)
Symmetry-distinct sites (fractional):
Li  0.3333  0.6667  0.0684 [4 per cell]  7 Au 2.60-2.77
Nd  0.0000  0.0000  0.2500 [2 per cell]  8 Au 3.08-3.32
Au  0.0000  0.0000  0.0000 [2 per cell]  6 Li 2.77
Au  0.3333  0.6667  0.6276 [4 per cell]  4 Li 2.60-2.73


Record 10
DFT (GGA-PBE) results for a relaxed structure of CsBa2Au2.

Energy above the most stable polymorph in this dataset = 0 meV/atom
Mass density = 6.7 Mg/m³
Size of the total moment = 0.0000 μB per atom
Raw total energy = -27.0 eV/cell

a = 9.4059 Å, b = 9.4059 Å, c = 4.4981 Å
α = 90.00°, β = 90.00°, γ = 90.00°
Closest atoms and distances in Å follow each position.
Space group P4/mbm (No. 127)
Symmetry-distinct sites (fractional):
Cs  0.0000  0.0000  0.0000 [2 per cell]  4 Au 3.69
Ba  0.1499  0.3501  0.5000 [4 per cell]  6 Au 3.47-3.69
Au  0.1305  0.6305  0.0000 [4 per cell]  6 Ba 3.47-3.69, 1 Au 3.47, 2 Cs 3.69


Record 11
DFT (GGA-PBE) results for a relaxed structure of CaTa3.

Mass density = 11.3 Mg/m³
Size of the total moment = 0.0000 μB per atom
Raw total energy = -35.3 eV/cell

a = 2.8456 Å, b = 4.6989 Å, c = 6.3842 Å
α = 90.00°, β = 90.00°, γ = 90.00°
Closest atoms and distances in Å follow each position.
Space group Pmmm (No. 47)
Symmetry-distinct sites (fractional):
Ca  0.0000  0.0000  0.0000 [1 per cell]  2 Ca 2.85
Ta  0.0000  0.0000  0.5000 [1 per cell]  10 Ta 2.85-3.06
Ta  0.5000  0.5000  0.2898 [2 per cell]  3 Ta 2.68-2.85


Record 12
DFT (GGA-PBE) results for a relaxed structure of HoThCo4.

Energy above the most stable polymorph in this dataset = 69 meV/atom
Mass density = 11.5 Mg/m³
Size of the total moment = 0.0002 μB per atom
Raw total energy = -166.5 eV/cell

a = 7.1582 Å, b = 7.1582 Å, c = 7.1582 Å
α = 90.00°, β = 90.00°, γ = 90.00°
Closest atoms and distances in Å follow each position.
Space group F-43m (No. 216)
Symmetry-distinct sites (fractional):
Ho  0.0000  0.0000  0.0000 [4 per cell]  12 Co 2.97, 4 Th 3.10
Th  0.2500  0.2500  0.2500 [4 per cell]  12 Co 2.97, 4 Ho 3.10
Co  0.1256  0.1256  0.6256 [16 per cell]  6 Co 2.52-2.54


> Among the records above, which one has the lowest raw total energy?

Rb2PrF5